Here is NdTlHg2 after structural relaxation from Alexandria. Energies are from PBE-GGA.

a = 3.9331 Å, b = 3.9331 Å, c = 7.1377 Å
α = 90.00°, β = 90.00°, γ = 90.00°
With the nearest neighbours (Å) after each atom.
Sites, in units of the cell vectors:
Nd: 0.0000 0.0000 0.0000  8 Hg 3.29, 2 Tl 3.57
Tl: 0.0000 0.0000 0.5000  8 Hg 3.32, 2 Nd 3.57
Hg: 0.5000 0.5000 0.2456  4 Nd 3.29, 4 Tl 3.32, 2 Hg 3.51-3.63
Hg: 0.5000 0.5000 0.7544  4 Nd 3.29, 4 Tl 3.32, 2 Hg 3.51-3.63

total magnetic moment: 0.078 μB/atom
density of states at the Fermi level: 2.73 states/eV/f.u.
calculated density: 11.3 g/cm³
crystal system: tetragonal
ΔH_f (0 K): -0.28 eV per atom